A plane-wave DFT calculation with PBE with a Hubbard U was carried out for a relaxed structure of Ac2PmNiO6.

Computed properties:
* uncorrected energy: -7.165 eV/atom
* space group: C2/m, No. 12
* crystal system: monoclinic

a b c (Å): 5.9046 5.6941 6.1929
angles (deg): 117.37 121.79 90.00
Last column: nearest neighbours and their distance in Å.
Fractional positions:
O (0.2177, 0.1759, 0.8823)  1 Ni 1.92
O (0.6420, 0.2446, 0.4892)  1 Ni 2.29, 1 Pm 2.31, 1 Ac 2.46
O (0.7823, 0.8241, 0.1177)  1 Ni 1.92
O (0.3580, 0.7554, 0.5108)  1 Ni 2.29, 1 Pm 2.31, 1 Ac 2.46
O (0.7823, 0.2936, 0.1177)  1 Ni 1.92
O (0.2177, 0.7064, 0.8823)  1 Ni 1.92
Ni (0.5000, 0.0000, 0.0000)  4 O 1.92
Pm (0.0000, 0.5000, 0.0000)  6 O 2.31
Ac (0.2435, 0.2602, 0.5203)  5 O 2.46-2.64
Ac (0.7565, 0.7398, 0.4797)  5 O 2.46-2.64


A plane-wave DFT calculation with PBE with a Hubbard U was carried out for a relaxed structure of Ac2NiPtO6.

Computed properties:
* uncorrected energy: -6.786 eV/atom
* space group: P2_1/c, No. 14
* crystal system: monoclinic

a b c (Å): 5.7471 5.7496 8.1043
angles (deg): 90.00 89.93 90.00
Last column: nearest neighbours and their distance in Å.
Fractional positions:
O (0.4264, 0.9882, 0.7485)  1 Pt 2.06, 1 Ni 2.08
O (0.7838, 0.7876, 0.5401)  1 Pt 2.06, 1 Ni 2.09
O (0.9264, 0.5118, 0.2485)  1 Pt 2.06, 1 Ni 2.08
O (0.7112, 0.2841, 0.5398)  1 Pt 2.06, 1 Ni 2.10
O (0.2112, 0.2159, 0.0398)  1 Pt 2.06, 1 Ni 2.10
O (0.2838, 0.7124, 0.0401)  1 Pt 2.06, 1 Ni 2.09
O (0.0736, 0.4882, 0.7515)  1 Pt 2.06, 1 Ni 2.08
O (0.5736, 0.0118, 0.2515)  1 Pt 2.06, 1 Ni 2.08
O (0.2162, 0.2124, 0.4599)  1 Pt 2.06, 1 Ni 2.09
O (0.7162, 0.2876, 0.9599)  1 Pt 2.06, 1 Ni 2.09
O (0.2888, 0.7159, 0.4602)  1 Pt 2.06, 1 Ni 2.10
O (0.7888, 0.7841, 0.9602)  1 Pt 2.06, 1 Ni 2.10
Ac (0.9932, 0.0379, 0.7497)  6 O 2.51-2.74
Ac (0.5068, 0.5379, 0.7503)  6 O 2.51-2.74
Ac (0.4932, 0.4621, 0.2497)  6 O 2.51-2.74
Ac (0.0068, 0.9621, 0.2503)  6 O 2.51-2.74
Ni (0.0000, 0.5000, 0.5000)  6 O 2.08-2.10
Ni (0.5000, 0.0000, 0.0000)  6 O 2.08-2.10
Pt (0.0000, 0.5000, 0.0000)  6 O 2.06
Pt (0.5000, 0.0000, 0.5000)  6 O 2.06


A plane-wave DFT calculation with PBE with a Hubbard U was carried out for a relaxed structure of AcNiPtO6.

Computed properties:
* uncorrected energy: -5.996 eV/atom
* space group: P312, No. 149
* crystal system: trigonal

a b c (Å): 5.3733 5.1463 5.1463
angles (deg): 120.00 90.00 90.00
Last column: nearest neighbours and their distance in Å.
Fractional positions:
O (0.3001, 0.3471, 0.3024)  1 Ni 1.90, 1 Pt 2.00
O (0.6999, 0.6976, 0.6529)  1 Ni 1.90, 1 Pt 2.00
O (0.3001, 0.9554, 0.6529)  1 Ni 1.90, 1 Pt 2.00
O (0.6999, 0.9554, 0.3024)  1 Ni 1.90, 1 Pt 2.00
O (0.3001, 0.6976, 0.0446)  1 Ni 1.90, 1 Pt 2.00
O (0.6999, 0.3471, 0.0446)  1 Ni 1.90, 1 Pt 2.00
Pt (0.5000, 0.0000, 0.0000)  6 O 2.00
Ac (0.0000, 0.3333, 0.6667)  6 O 2.50
Ni (0.5000, 0.6667, 0.3333)  6 O 1.90


A plane-wave DFT calculation with PBE with a Hubbard U was carried out for a relaxed structure of AcNi4Pt3O12.

Computed properties:
* uncorrected energy: -5.596 eV/atom
* space group: Im-3, No. 204
* crystal system: cubic

a b c (Å): 6.6044 6.6044 6.6044
angles (deg): 109.47 109.47 109.47
Last column: nearest neighbours and their distance in Å.
Fractional positions:
O (0.8248, 0.5130, 0.6882)  1 Pt 1.96, 2 Ni 2.05
O (0.8634, 0.6882, 0.1752)  1 Pt 1.96, 2 Ni 2.05
O (0.8248, 0.1366, 0.3118)  1 Pt 1.96, 2 Ni 2.05
O (0.5130, 0.6882, 0.8248)  1 Pt 1.96, 2 Ni 2.05
O (0.3118, 0.1752, 0.4870)  1 Pt 1.96, 2 Ni 2.05
O (0.1752, 0.4870, 0.3118)  1 Pt 1.96, 2 Ni 2.05
O (0.1752, 0.8634, 0.6882)  1 Pt 1.96, 2 Ni 2.05
O (0.3118, 0.8248, 0.1366)  1 Pt 1.96, 2 Ni 2.05
O (0.1366, 0.3118, 0.8248)  1 Pt 1.96, 2 Ni 2.05
O (0.4870, 0.3118, 0.1752)  1 Pt 1.96, 2 Ni 2.05
O (0.6882, 0.1752, 0.8634)  1 Pt 1.96, 2 Ni 2.05
O (0.6882, 0.8248, 0.5130)  1 Pt 1.96, 2 Ni 2.05
Ni (0.0000, 0.5000, 0.0000)  6 O 2.05
Ni (0.5000, 0.5000, 0.5000)  6 O 2.05
Ni (0.0000, 0.0000, 0.5000)  6 O 2.05
Ni (0.5000, 0.0000, 0.0000)  6 O 2.05
Pt (0.5000, 0.0000, 0.5000)  4 O 1.96
Pt (0.0000, 0.5000, 0.5000)  4 O 1.96
Pt (0.5000, 0.5000, 0.0000)  4 O 1.96
Ac (0.0000, 0.0000, 0.0000)  12 O 2.73


A plane-wave DFT calculation with PBE with a Hubbard U was carried out for a relaxed structure of AcPu2NiO8.

Computed properties:
* uncorrected energy: -8.293 eV/atom
* space group: I-4m2, No. 119
* crystal system: tetragonal

a b c (Å): 6.3786 6.3786 6.3786
angles (deg): 110.75 110.75 106.94
Last column: nearest neighbours and their distance in Å.
Fractional positions:
Ac (0.0000, 0.0000, 0.0000)  4 O 2.39
O (0.3790, 0.0541, 0.3249)  1 Pu 1.96
O (0.8876, 0.6882, 0.1994)  1 Pu 2.03, 1 Ni 2.23
O (0.9459, 0.6210, 0.6751)  1 Pu 1.96
O (0.7292, 0.0541, 0.6751)  1 Pu 1.96
O (0.9459, 0.2708, 0.3249)  1 Pu 1.96
O (0.3118, 0.5112, 0.1994)  1 Pu 2.03, 1 Ni 2.23
O (0.4888, 0.6882, 0.8006)  1 Pu 2.03, 1 Ni 2.23
O (0.3118, 0.1124, 0.8006)  1 Pu 2.03, 1 Ni 2.23
Pu (0.5000, 0.5000, 0.0000)  4 O 2.03
Pu (0.7500, 0.2500, 0.5000)  4 O 1.96
Ni (0.2500, 0.7500, 0.5000)  4 O 2.23


A plane-wave DFT calculation with PBE with a Hubbard U was carried out for a relaxed structure of AcPuNiO6.

Computed properties:
* uncorrected energy: -8.044 eV/atom
* space group: P312, No. 149
* crystal system: trigonal

a b c (Å): 5.4780 5.3608 5.3608
angles (deg): 120.00 90.00 90.00
Last column: nearest neighbours and their distance in Å.
Fractional positions:
O (0.2914, 0.6913, 0.0359)  1 Pu 2.02, 1 Ni 2.10
O (0.7086, 0.9641, 0.3087)  1 Pu 2.02, 1 Ni 2.10
O (0.2914, 0.9641, 0.6555)  1 Pu 2.02, 1 Ni 2.10
O (0.7086, 0.6913, 0.6555)  1 Pu 2.02, 1 Ni 2.10
O (0.7086, 0.3445, 0.0359)  1 Pu 2.02, 1 Ni 2.10
O (0.2914, 0.3445, 0.3087)  1 Pu 2.02, 1 Ni 2.10
Ni (0.5000, 0.0000, 0.0000)  6 O 2.10
Pu (0.5000, 0.6667, 0.3333)  6 O 2.02
Ac (0.0000, 0.3333, 0.6667)  6 O 2.52


A plane-wave DFT calculation with PBE with a Hubbard U was carried out for a relaxed structure of AcPuNi2O6.

Computed properties:
* uncorrected energy: -7.519 eV/atom
* space group: R3, No. 146
* crystal system: trigonal

a b c (Å): 5.5960 5.5956 5.8322
angles (deg): 61.34 61.35 60.02
Last column: nearest neighbours and their distance in Å.
Fractional positions:
O (0.8960, 0.6213, 0.2269)  2 Ni 2.05-2.18, 1 Pu 2.20
O (0.6212, 0.2556, 0.2272)  2 Ni 2.05-2.18, 1 Pu 2.20
O (0.7282, 0.1822, 0.7518)  2 Ni 2.06-2.23, 1 Pu 2.15
O (0.2556, 0.8960, 0.2272)  2 Ni 2.05-2.18, 1 Pu 2.20
O (0.3378, 0.7282, 0.7520)  2 Ni 2.06-2.23, 1 Pu 2.14
O (0.1821, 0.3377, 0.7519)  2 Ni 2.06-2.23, 1 Pu 2.14
Ni (0.0102, 0.0103, 0.9691)  6 O 2.06-2.18
Ni (0.5240, 0.5241, 0.4279)  6 O 2.05-2.23
Pu (0.3161, 0.3160, 0.0518)  6 O 2.14-2.20
Ac (0.7903, 0.7902, 0.6293)  6 O 2.44-2.64


A plane-wave DFT calculation with PBE with a Hubbard U was carried out for a relaxed structure of Ac2PuNiO8.

Computed properties:
* uncorrected energy: -7.805 eV/atom
* space group: P-1, No. 2
* crystal system: triclinic

a b c (Å): 4.6139 5.3884 7.7327
angles (deg): 100.54 84.35 100.28
Last column: nearest neighbours and their distance in Å.
Fractional positions:
Pu (0.0000, 0.0000, 0.0000)  4 O 1.90-1.96
O (0.0233, 0.8407, 0.2561)  1 Ni 1.93
O (0.3898, 0.2153, 0.9967)  1 Pu 1.96
O (0.8903, 0.2849, 0.1596)  1 Pu 1.90
O (0.1097, 0.7151, 0.8404)  1 Pu 1.90
O (0.6102, 0.7847, 0.0033)  1 Pu 1.96
O (0.9767, 0.1593, 0.7439)  1 Ni 1.93
O (0.6958, 0.7506, 0.5396)  1 Ni 1.81
O (0.3042, 0.2494, 0.4604)  1 Ni 1.81
Ac (0.4437, 0.5735, 0.2687)  5 O 2.45-2.63
Ac (0.5563, 0.4265, 0.7313)  5 O 2.45-2.63
Ni (0.0000, 0.0000, 0.5000)  4 O 1.81-1.93


A plane-wave DFT calculation with PBE with a Hubbard U was carried out for a relaxed structure of RbAcNiO4.

Computed properties:
* uncorrected energy: -5.558 eV/atom
* space group: P2_1/m, No. 11
* crystal system: monoclinic

a b c (Å): 6.1327 5.7161 7.9026
angles (deg): 90.00 104.82 90.00
Last column: nearest neighbours and their distance in Å.
Fractional positions:
Ac (0.7609, 0.7500, 0.4445)  6 O 2.51-2.61
Ac (0.2391, 0.2500, 0.5555)  6 O 2.51-2.61
O (0.5765, 0.2500, 0.8157)  1 Ni 1.78
O (0.9699, 0.0085, 0.6962)  1 Ni 1.81
O (0.5998, 0.2500, 0.4605)  1 Ni 1.85
O (0.4002, 0.7500, 0.5395)  1 Ni 1.85
O (0.0301, 0.5085, 0.3038)  1 Ni 1.81
O (0.0301, 0.9915, 0.3038)  1 Ni 1.81
O (0.4235, 0.7500, 0.1843)  1 Ni 1.78
O (0.9699, 0.4915, 0.6962)  1 Ni 1.81
Rb (0.2844, 0.2500, 0.0663)  6 O 2.99-3.22
Rb (0.7156, 0.7500, 0.9337)  6 O 2.99-3.22
Ni (0.2221, 0.7500, 0.3113)  4 O 1.78-1.85
Ni (0.7779, 0.2500, 0.6887)  4 O 1.78-1.85


A plane-wave DFT calculation with PBE with a Hubbard U was carried out for a relaxed structure of Rb2AcNiO4.

Computed properties:
* uncorrected energy: -5.220 eV/atom
* space group: I-4, No. 82
* crystal system: tetragonal

a b c (Å): 6.1559 6.1559 6.1559
angles (deg): 92.16 118.76 118.76
Last column: nearest neighbours and their distance in Å.
Fractional positions:
Ac (0.5000, 0.2500, 0.7500)  4 O 2.36
O (0.9377, 0.5392, 0.1773)  1 Ni 1.88
O (0.0623, 0.2396, 0.6015)  1 Ni 1.88
O (0.3619, 0.8227, 0.7604)  1 Ni 1.88
O (0.6381, 0.3985, 0.4608)  1 Ni 1.88
Ni (0.0000, 0.5000, 0.5000)  4 O 1.88
Rb (0.5000, 0.7500, 0.2500)  4 O 2.83
Rb (0.0000, 0.0000, 0.0000)  4 O 3.00


A plane-wave DFT calculation with PBE with a Hubbard U was carried out for a relaxed structure of Rb4Ac3NiO8.

Computed properties:
* uncorrected energy: -5.640 eV/atom
* space group: C2/m, No. 12
* crystal system: monoclinic

a b c (Å): 7.2692 7.7024 7.7192
angles (deg): 115.31 118.09 90.00
Last column: nearest neighbours and their distance in Å.
Fractional positions:
Rb (0.5000, 0.0000, 0.0000)  2 O 2.65
Rb (0.0000, 0.0000, 0.0000)  4 O 2.93
Rb (0.0000, 0.0000, 0.5000)  4 O 2.86-2.93
Rb (0.5000, 0.0000, 0.5000)  4 O 2.86-2.93
Ac (0.5000, 0.5000, 0.5000)  6 O 2.45-2.67
Ac (0.0000, 0.5000, 0.5000)  6 O 2.45-2.67
Ac (0.5000, 0.5000, 0.0000)  6 O 2.52-2.57
O (0.2315, 0.3508, 0.0589)  1 Ni 2.02
O (0.7164, 0.2647, 0.4328)  2 Ac 2.45, 1 Rb 2.65
O (0.2888, 0.3143, 0.5776)  3 Ac 2.52
O (0.1725, 0.6492, 0.9411)  1 Ni 2.02
O (0.7112, 0.6857, 0.4224)  3 Ac 2.52
O (0.7685, 0.6492, 0.9411)  1 Ni 2.02
O (0.2836, 0.7353, 0.5672)  2 Ac 2.45, 1 Rb 2.65
O (0.8275, 0.3508, 0.0589)  1 Ni 2.02
Ni (0.0000, 0.5000, 0.0000)  4 O 2.02


A plane-wave DFT calculation with PBE with a Hubbard U was carried out for a relaxed structure of RbAc2NiO5.

Computed properties:
* uncorrected energy: -6.295 eV/atom
* space group: P4/mbm, No. 127
* crystal system: tetragonal

a b c (Å): 5.8178 7.1869 7.1869
angles (deg): 90.00 90.00 90.00
Last column: nearest neighbours and their distance in Å.
Fractional positions:
Rb (0.0000, 0.5000, 0.5000)  10 O 2.91-3.15
Rb (0.0000, 0.0000, 0.0000)  10 O 2.91-3.15
O (0.5000, 0.0000, 0.0000)  4 Ac 2.63, 2 Rb 2.91
O (0.2350, 0.6246, 0.8754)  1 Ni 1.86
O (0.2350, 0.8754, 0.3754)  1 Ni 1.86
O (0.2350, 0.1246, 0.6246)  1 Ni 1.86
O (0.7650, 0.6246, 0.8754)  1 Ni 1.86
O (0.5000, 0.5000, 0.5000)  4 Ac 2.63, 2 Rb 2.91
O (0.2350, 0.3754, 0.1246)  1 Ni 1.86
O (0.7650, 0.8754, 0.3754)  1 Ni 1.86
O (0.7650, 0.3754, 0.1246)  1 Ni 1.86
O (0.7650, 0.1246, 0.6246)  1 Ni 1.86
Ac (0.5000, 0.8180, 0.6820)  8 O 2.50-2.72
Ac (0.5000, 0.6820, 0.1820)  8 O 2.50-2.72
Ac (0.5000, 0.3180, 0.8180)  8 O 2.50-2.72
Ac (0.5000, 0.1820, 0.3180)  8 O 2.50-2.72
Ni (0.0000, 0.5000, 0.0000)  4 O 1.86
Ni (0.0000, 0.0000, 0.5000)  4 O 1.86